The following is a DFT calculation (PBE) of CaSbAs2 after structural relaxation.

abc: 4.105 4.105 6.286
angles: 90.00 90.00 90.00
Element x y z (fractional)
As 0.500 0.500 0.386
Ca 0.000 0.000 0.405
As 0.000 0.000 0.905
Sb 0.500 0.500 0.804

Output
E_form (uncorrected)	-0.452	eV/atom
raw total energy	-17.23	eV/cell
symmetry	P4mm (99)